CaHgH3 | Alexandria via LeMat-Bulk | GGA-PBE | optimized geometry; offset from the most stable computed form = 0.026 eV/atom; DOS at the Fermi energy = 1.1 states/eV/cell; total moment = 0.000 μB per atom
1.0
4.2046 0.0000 0.0000
0.0000 4.2046 0.0000
0.0000 0.0000 4.2046
Ca Hg H
1 1 3
Cartesian
0.0000 0.0000 0.0000
2.1023 2.1023 2.1023
0.0000 0.0000 2.1023
0.0000 2.1023 0.0000
2.1023 0.0000 0.0000

***

Np2PaNiS4 | Alexandria via LeMat-Bulk | GGA-PBE | optimized geometry; energy relative to the elements, uncorrected = -8.798 eV/f.u.; DOS at the Fermi energy = 13.1 states/eV/cell; total moment = 1.308 μB per atom
1.0
-3.3819 3.3819 3.3019
3.3819 -3.3819 3.3019
3.3819 3.3819 -3.3019
Np Pa Ni S
2 1 1 4
Cartesian
3.3819 0.0000 0.0000
0.0000 3.3819 0.0000
0.0000 0.0000 0.0000
0.0000 0.0000 3.3019
2.0448 2.0448 -1.2941
1.3371 -1.3371 4.5960
1.3371 1.3371 2.0077
-1.3371 1.3371 4.5960

***

InSiOs2 | Alexandria via LeMat-Bulk | GGA-PBE | optimized geometry; energy relative to the elements, uncorrected = 0.732 eV/f.u.; offset from the most stable computed form = 0.094 eV/atom; DOS at the Fermi energy = 2.9 states/eV/cell; total moment = 0.000 μB per atom
1.0
1.4496 0.8369 8.4919
-1.4496 0.8369 8.4919
0.0000 -1.6739 8.4919
In Si Os
1 1 2
Cartesian
0.0000 0.0000 0.0000
0.0000 0.0000 12.7379
0.0000 0.0000 6.0748
0.0000 0.0000 19.4010

***

K4BaPb | Alexandria via LeMat-Bulk | GGA-PBE | optimized geometry; E_form = 0.153 eV per atom; DOS at the Fermi energy = 4.7 states/eV/cell; total moment = 0.000 μB per atom
1.0
0.0000 5.4147 5.4147
5.4147 0.0000 5.4147
5.4147 5.4147 0.0000
K Ba Pb
4 1 1
Cartesian
4.0835 4.0835 4.0835
6.7458 6.7458 4.0835
6.7458 4.0835 6.7458
4.0835 6.7458 6.7458
0.0000 0.0000 0.0000
8.1220 8.1220 8.1220

***

Values of E, in order: -11.704, -66.467, -29.889, -9.106, all in eV/f.u..